Compound: Ce5ThIn2
Source: the Alexandria database
Functional: PBE
Structure: optimized geometry

Properties
**ΔE to the lowest computed polymorph**: 0.00 eV per formula unit

Unit cell a=6.806 b=6.806 c=9.579 alpha=90.00 beta=90.00 gamma=90.00
Space group I4mm (No. 107)
Symmetry-distinct sites (fractional):
Ce1 0.000 0.000 0.000 [2 per cell]
Ce2 0.223 0.223 0.295 [8 per cell]
Th1 0.000 0.000 0.581 [2 per cell]
In1 0.000 0.500 0.045 [4 per cell]



Compound: CeThIn
Source: the Alexandria database
Functional: PBE
Structure: optimized geometry

Properties
**ΔE to the lowest computed polymorph**: 0.04 eV per formula unit

Unit cell a=4.189 b=4.189 c=9.954 alpha=90.00 beta=90.00 gamma=90.00
Space group I4mm (No. 107)
Symmetry-distinct sites (fractional):
Ce1 0.000 0.000 0.000 [2 per cell]
Th1 0.000 0.000 0.304 [2 per cell]
In1 0.000 0.000 0.651 [2 per cell]



Compound: Ce2ThIn
Source: the Alexandria database
Functional: PBE
Structure: optimized geometry

Properties
**ΔE to the lowest computed polymorph**: 0.53 eV per formula unit

Unit cell a=3.4460 b=3.4460 c=33.7084 alpha=90.00 beta=90.00 gamma=120.00
Space group R3m (No. 160, hexagonal axes)
Symmetry-distinct sites (fractional):
Ce1 0.0000 0.0000 0.0000 [3 per cell]
Ce2 0.0000 0.0000 0.1715 [3 per cell]
Th1 0.0000 0.0000 0.7524 [3 per cell]
In1 0.0000 0.0000 0.5858 [3 per cell]



Compound: Ce12Th3In
Source: the Alexandria database
Functional: PBE
Structure: optimized geometry

Unit cell a=4.793 b=4.793 c=19.409 alpha=90.00 beta=90.00 gamma=90.00
Space group P4/mmm (No. 123)
Symmetry-distinct sites (fractional):
Ce1 0.000 0.000 0.000 [1 per cell]
Ce2 0.000 0.000 0.247 [2 per cell]
Ce3 0.000 0.000 0.500 [1 per cell]
Ce4 0.000 0.500 0.124 [4 per cell]
Ce5 0.000 0.500 0.375 [4 per cell]
Th1 0.500 0.500 0.000 [1 per cell]
Th2 0.500 0.500 0.250 [2 per cell]
In1 0.500 0.500 0.500 [1 per cell]



Compound: CeTh4In3
Source: the Alexandria database
Functional: PBE
Structure: optimized geometry

Unit cell a=4.615 b=4.946 c=10.212 alpha=90.00 beta=90.00 gamma=90.00
Space group Pmmm (No. 47)
Symmetry-distinct sites (fractional):
Ce1 0.000 0.000 0.000 [1 per cell]
Th1 0.500 0.000 0.254 [2 per cell]
Th2 0.500 0.500 0.000 [1 per cell]
Th3 0.500 0.500 0.500 [1 per cell]
In1 0.000 0.000 0.500 [1 per cell]
In2 0.000 0.500 0.245 [2 per cell]



Compound: Ce2ThIn6
Source: the Alexandria database
Functional: PBE
Structure: optimized geometry

Properties
**ΔE to the lowest computed polymorph**: 0.00 eV per formula unit

Unit cell a=8.8242 b=8.8242 c=3.5896 alpha=90.00 beta=90.00 gamma=120.00
Space group P6/mmm (No. 191)
Symmetry-distinct sites (fractional):
Ce1 0.3333 0.6667 0.0000 [2 per cell]
Th1 0.0000 0.0000 0.0000 [1 per cell]
In1 0.0000 0.3341 0.5000 [6 per cell]



Compound: Ce7Th2In2
Source: the Alexandria database
Functional: PBE
Structure: optimized geometry

Unit cell a=4.691 b=15.326 c=9.081 alpha=90.00 beta=90.00 gamma=90.00
Space group Imm2 (No. 44)
Symmetry-distinct sites (fractional):
Ce1 0.000 0.000 0.000 [2 per cell]
Ce2 0.000 0.158 0.284 [4 per cell]
Ce3 0.000 0.329 0.033 [4 per cell]
Ce4 0.000 0.332 0.531 [4 per cell]
Th1 0.000 0.000 0.568 [2 per cell]
Th2 0.000 0.500 0.781 [2 per cell]
In1 0.000 0.176 0.782 [4 per cell]



Compound: CeTh5In4
Source: the Alexandria database
Functional: PBE
Structure: optimized geometry

Unit cell a=4.127 b=4.127 c=17.233 alpha=90.00 beta=90.00 gamma=90.00
Space group P4/mmm (No. 123)
Symmetry-distinct sites (fractional):
Ce1 0.000 0.000 0.000 [1 per cell]
Th1 0.500 0.500 0.105 [2 per cell]
Th2 0.500 0.500 0.304 [2 per cell]
Th3 0.500 0.500 0.500 [1 per cell]
In1 0.000 0.000 0.203 [2 per cell]
In2 0.000 0.000 0.402 [2 per cell]



For the records above, the corresponding energy of formation values read -1.5 -0.4 -0.2 -0.6 -1.6 -3.1 0.0 -1.5 eV per formula unit.
For the records above, the corresponding total magnetic moment values read 0.50 0.15 0.19 0.22 0.01 0.21 0.37 0.00 μB/atom.